--- A ---
This record from the Alexandria database describes crystalline Y2MgCrC at its relaxed geometry. The functional is PBE.

## Properties
Total moment: 2.2 μB per cell
ρ: 4347 kg/m³
Crystal system: tetragonal
Calculated volume: 20.3 A^3/atom

a = 5.0873 Å, b = 5.0873 Å, c = 3.9279 Å
α = 90.00°, β = 90.00°, γ = 90.00°
Closest atoms and distances in Å follow each position.
Space group P4/mmm (No. 123)
Unique sites:
Y 0.0000 0.5000 0.0000 (multiplicity 2)  2 C 2.54
Mg 0.0000 0.0000 0.5000 (multiplicity 1)  8 Y 3.21, 4 Cr 3.60
Cr 0.5000 0.5000 0.5000 (multiplicity 1)  2 C 1.96
C 0.5000 0.5000 0.0000 (multiplicity 1)  2 Cr 1.96

--- B ---
This record from the Alexandria database describes crystalline Y2MgCrC at its relaxed geometry. The functional is PBE.

## Properties
Total moment: 3.3 μB per cell
ρ: 3604 kg/m³
Crystal system: tetragonal
Calculated volume: 24.5 A^3/atom

a = 5.6516 Å, b = 5.6516 Å, c = 3.8391 Å
α = 90.00°, β = 90.00°, γ = 90.00°
Closest atoms and distances in Å follow each position.
Space group P4/mmm (No. 123)
Unique sites:
Y 0.0000 0.5000 0.0000 (multiplicity 2)  2 Mg 2.83
Mg 0.0000 0.0000 0.0000 (multiplicity 1)  2 C 1.92
Cr 0.5000 0.5000 0.5000 (multiplicity 1)  8 Y 3.42
C 0.0000 0.0000 0.5000 (multiplicity 1)  2 Mg 1.92

Most stable to least stable, the ends of the list are A and B.